(1)
Here is a geometry-optimized CuP5 structure from the Alexandria database. Energies are from PBE.

- Density: 3.5 Mg/m³
- Symmetry: Cm
- M_tot: 0.0 μB/cell
- Crystal system: monoclinic
- Raw total energy: -4.819 eV/atom

Cell and atoms, written as extended XYZ:
```
12
Lattice="11.9239 0.0000 0.0000 0.0000 2.5780 0.0000 -1.3957 0.0000 6.8385" Properties=species:S:1:pos:R:3 pbc="T T T"
Cu 0.0000 0.0000 0.0000
Cu 5.9620 1.2890 0.0000
P 0.8196 1.2890 1.8897
P 0.7280 0.0000 4.1109
P 3.0644 1.2890 1.9647
P 2.1844 1.2890 6.7103
P 4.7990 0.0000 4.8122
P 6.7816 0.0000 1.8897
P 6.6900 1.2890 4.1109
P 9.0264 0.0000 1.9647
P 8.1464 0.0000 6.7103
P 10.7610 1.2890 4.8122
```

=====

(2)
Here is a geometry-optimized Ac2CdF11 structure from the Alexandria database. Energies are from PBE.

- Density: 4.3 Mg/m³
- Symmetry: Ibam
- M_tot: 1.8 μB/cell
- Crystal system: orthorhombic
- Formation energy from raw total energies: -2.72 eV per atom

Cell and atoms, written as extended XYZ:
```
28
Lattice="-3.9405 5.3778 6.9993 3.9405 -5.3778 6.9993 3.9405 5.3778 -6.9993" Properties=species:S:1:pos:R:3 pbc="T T T"
Ac 1.6510 1.8784 0.0000
Ac 1.6510 -1.8784 6.9993
Ac 2.2894 7.2562 0.0000
Ac 2.2894 3.4993 6.9993
Cd 0.0000 0.0000 3.4996
Cd 0.0000 0.0000 10.4989
F 3.9405 0.0000 0.0000
F 5.4707 0.8219 0.0000
F 6.4361 -0.6703 2.0966
F 3.5285 -2.8607 5.7274
F 3.5285 2.8607 -1.2719
F 1.4449 0.6703 2.0966
F 1.4449 -0.6703 4.9027
F -0.4119 2.5171 1.2719
F 3.5285 2.8607 1.2719
F 2.4956 6.0481 -2.0966
F 1.5302 4.5558 0.0000
F 0.0000 5.3778 0.0000
F 2.4103 0.8219 6.9993
F 1.4449 -0.6703 9.0959
F 0.4119 2.5171 5.7274
F 4.3524 2.8607 5.7274
F 2.4956 6.0481 2.0966
F 2.4956 4.7075 4.9027
F 0.4119 2.5171 8.2712
F 0.4119 8.2385 1.2719
F -2.4956 6.0481 4.9027
F -1.5302 4.5558 6.9993
```

=====

(3)
Here is a geometry-optimized Tb2Ce2Ga4Au structure from the Alexandria database. Energies are from PBE.

- Density: 7.9 Mg/m³
- Symmetry: I4/mmm
- M_tot: 1.7 μB/cell
- Crystal system: tetragonal
- Raw total energy: -4.359 eV/atom

Cell and atoms, written as extended XYZ:
```
9
Lattice="-3.6573 3.6573 4.2084 3.6573 -3.6573 4.2084 3.6573 3.6573 -4.2084" Properties=species:S:1:pos:R:3 pbc="T T T"
Tb 3.6573 0.0000 2.1042
Tb 0.0000 3.6573 2.1042
Ce 0.0000 0.0000 1.3472
Ce 0.0000 0.0000 7.0696
Ga 1.8825 1.8825 0.0000
Ga 1.7748 -1.7748 4.2084
Ga -1.7748 1.7748 4.2084
Ga 1.7748 1.7748 4.2084
Au 0.0000 0.0000 4.2084
```

=====

(4)
Here is a geometry-optimized GeBiCl5 structure from the Alexandria database. Energies are from PBE.

- Density: 3.2 Mg/m³
- Symmetry: C2/c
- M_tot: 0.0 μB/cell
- Crystal system: monoclinic
- Formation energy from raw total energies: -0.85 eV per atom

Cell and atoms, written as extended XYZ:
```
14
Lattice="5.9118 -4.4556 0.0000 5.9118 4.4556 0.0000 -4.7982 0.0000 8.9963" Properties=species:S:1:pos:R:3 pbc="T T T"
Ge 2.3131 4.2247 6.7472
Ge 4.7122 -4.2247 2.2491
Bi 5.9118 0.0000 0.0000
Bi 3.5127 0.0000 4.4982
Cl 2.8842 2.6662 4.9943
Cl -1.1835 0.2777 7.6181
Cl 1.7421 2.6662 8.5002
Cl 1.2155 -0.2777 3.1200
Cl 4.7122 1.0165 2.2491
Cl 2.3131 -1.0165 6.7472
Cl 5.8098 0.2777 5.8764
Cl 5.2833 -2.6662 0.4961
Cl 8.2089 -0.2777 1.3782
Cl 4.1412 -2.6662 4.0021
```

=====

(5)
Here is a geometry-optimized Rb3Th2MgTe6 structure from the Alexandria database. Energies are from PBE.

- Density: 5.4 Mg/m³
- Symmetry: C2/m
- M_tot: 0.0 μB/cell
- Crystal system: monoclinic
- Formation energy from raw total energies: -1.12 eV per atom

Cell and atoms, written as extended XYZ:
```
12
Lattice="3.9548 -6.8519 0.0000 3.9548 6.8519 0.0000 -2.6440 0.0000 8.5540" Properties=species:S:1:pos:R:3 pbc="T T T"
Rb 0.0000 0.0000 0.0000
Rb 3.9548 2.3056 0.0000
Rb 3.9548 -2.3056 0.0000
Th 2.6328 4.5710 4.2770
Th 2.6328 -4.5710 4.2770
Mg 2.6328 0.0000 4.2770
Te 1.3513 2.2240 2.5700
Te 0.0632 0.0000 5.9900
Te 1.3513 -2.2240 2.5700
Te 3.9144 2.2240 5.9841
Te 5.2024 0.0000 2.5640
Te 3.9144 -2.2240 5.9841
```

=====

(6)
Here is a geometry-optimized CuCl5 structure from the Alexandria database. Energies are from PBE.

- Density: 3.1 Mg/m³
- Symmetry: F-43m
- M_tot: 0.1 μB/cell
- Crystal system: cubic
- Formation energy from raw total energies: 0.80 eV per atom

Cell and atoms, written as extended XYZ:
```
6
Lattice="0.0000 4.0290 4.0290 4.0290 0.0000 4.0290 4.0290 4.0290 0.0000" Properties=species:S:1:pos:R:3 pbc="T T T"
Cu 0.0000 0.0000 0.0000
Cl 3.0195 3.0195 3.0195
Cl 5.0386 5.0386 3.0195
Cl 5.0386 3.0195 5.0386
Cl 6.0436 6.0436 6.0436
Cl 3.0195 5.0386 5.0386
```

=====

(7)
Here is a geometry-optimized IrBr structure from the Alexandria database. Energies are from PBE.

- Density: 9.1 Mg/m³
- Symmetry: R-3m
- M_tot: 5.9 μB/cell
- Crystal system: trigonal
- Formation energy from raw total energies: 0.27 eV per atom

Cell and atoms, written as extended XYZ:
```
12
Lattice="3.7297 0.0000 0.0000 -1.8648 3.2300 0.0000 0.0000 0.0000 24.7808" Properties=species:S:1:pos:R:3 pbc="T T T"
Ir 0.0000 0.0000 4.7494
Ir 0.0000 0.0000 20.0314
Ir 0.0000 2.1533 11.7712
Ir 0.0000 2.1533 21.2699
Ir 1.8648 1.0767 3.5109
Ir 1.8648 1.0767 13.0097
Br 0.0000 0.0000 10.1254
Br 0.0000 0.0000 14.6554
Br 0.0000 2.1533 1.8651
Br 0.0000 2.1533 6.3952
Br 1.8648 1.0767 18.3857
Br 1.8648 1.0767 22.9157
```

=====

(8)
Here is a geometry-optimized SmMgCd11 structure from the Alexandria database. Energies are from PBE.

- Density: 7.9 Mg/m³
- Symmetry: C2/m
- M_tot: 0.0 μB/cell
- Crystal system: monoclinic
- Raw total energy: -1.385 eV/atom

Cell and atoms, written as extended XYZ:
```
13
Lattice="2.9915 -7.0170 0.0000 2.9915 7.0170 0.0000 -2.9883 0.0000 7.0355" Properties=species:S:1:pos:R:3 pbc="T T T"
Sm 0.0000 0.0000 0.0000
Mg 1.4974 0.0000 3.5177
Cd -1.4941 0.0000 3.5177
Cd 1.4958 3.5085 0.0000
Cd 0.0234 2.4436 2.4713
Cd 0.0380 1.4884 5.5292
Cd 0.0234 -2.4436 2.4713
Cd 2.9568 1.4884 1.5063
Cd 1.4958 -3.5085 0.0000
Cd 0.0380 -1.4884 5.5292
Cd 2.9714 2.4436 4.5642
Cd 2.9568 -1.4884 1.5063
Cd 2.9714 -2.4436 4.5642
```

=====

(9)
Here is a geometry-optimized Nd6Y3Th2 structure from the Alexandria database. Energies are from PBE.

- Density: 7.1 Mg/m³
- Symmetry: R-3m
- M_tot: 0.0 μB/cell
- Crystal system: trigonal
- Raw total energy: -5.688 eV/atom

Cell and atoms, written as extended XYZ:
```
11
Lattice="1.8154 1.0481 32.6166 -1.8154 1.0481 32.6166 0.0000 -2.0962 32.6166" Properties=species:S:1:pos:R:3 pbc="T T T"
Nd 0.0000 0.0000 8.9166
Nd 0.0000 0.0000 17.9228
Nd 0.0000 0.0000 35.5644
Nd 0.0000 0.0000 62.2854
Nd 0.0000 0.0000 79.9270
Nd 0.0000 0.0000 88.9332
Y 0.0000 0.0000 0.0000
Y 0.0000 0.0000 26.7418
Y 0.0000 0.0000 71.1080
Th 0.0000 0.0000 44.4344
Th 0.0000 0.0000 53.4154
```

=====

(10)
Here is a geometry-optimized Li7Ca3Pt4 structure from the Alexandria database. Energies are from PBE.

- Density: 5.9 Mg/m³
- Symmetry: C2/m
- M_tot: 0.0 μB/cell
- Crystal system: monoclinic
- Raw total energy: -3.658 eV/atom

Cell and atoms, written as extended XYZ:
```
14
Lattice="7.9107 -2.1059 0.0000 7.9107 2.1059 0.0000 -6.0329 0.0000 7.9566" Properties=species:S:1:pos:R:3 pbc="T T T"
Li 0.0000 0.0000 0.0000
Li -2.9356 0.0000 7.3421
Li 2.1363 0.0000 3.8895
Li 6.4246 0.0000 1.7006
Li 3.3639 0.0000 6.2560
Li 7.6523 0.0000 4.0671
Li 12.7242 0.0000 0.6144
Ca -3.0165 0.0000 3.9783
Ca 0.0572 0.0000 6.1699
Ca 9.7314 0.0000 1.7867
Pt -0.2077 0.0000 2.5616
Pt 3.8831 0.0000 1.9460
Pt 5.9054 0.0000 6.0106
Pt 9.9962 0.0000 5.3950
```

=====

(11)
Here is a geometry-optimized BaCdGaBr2 structure from the Alexandria database. Energies are from PBE.

- Density: 2.9 Mg/m³
- Symmetry: P4/mmm
- M_tot: 0.7 μB/cell
- Crystal system: tetragonal
- Formation energy from raw total energies: -0.59 eV per atom

Cell and atoms, written as extended XYZ:
```
5
Lattice="6.1552 0.0000 0.0000 0.0000 6.1552 0.0000 0.0000 0.0000 7.3234" Properties=species:S:1:pos:R:3 pbc="T T T"
Ba 0.0000 0.0000 0.0000
Cd 0.0000 0.0000 3.6617
Ga 3.0776 3.0776 3.6617
Br 0.0000 3.0776 0.0000
Br 3.0776 0.0000 0.0000
```